# 1
Compound: Rb7I5Br
Source: Alexandria
Functional: PBE-GGA
Structure: relaxed

Results
E_form (uncorrected): -1366 meV/atom
DOS(E_F): 0.143 states/eV per atom

```
Rb7I5Br
1.0
8.853 -2.560 0.000
8.853 2.560 0.000
-0.106 0.000 31.501
Rb I Br
14 10 2
direct
0.000 0.000 0.000
0.000 0.000 0.427
0.177 0.177 0.782
0.178 0.178 0.645
0.276 0.276 0.357
0.277 0.277 0.070
0.447 0.447 0.571
0.447 0.447 0.857
0.545 0.545 0.282
0.547 0.547 0.146
0.724 0.724 0.500
0.724 0.724 0.927
0.792 0.792 0.213
0.932 0.932 0.714
0.086 0.086 0.890
0.087 0.087 0.538
0.362 0.362 0.464
0.362 0.362 0.964
0.637 0.637 0.390
0.638 0.638 0.038
0.814 0.814 0.819
0.815 0.815 0.608
0.908 0.908 0.320
0.910 0.910 0.108
0.128 0.128 0.215
0.596 0.596 0.713
```

# 2
Compound: Rb3IBr2
Source: Alexandria
Functional: PBE-GGA
Structure: relaxed

Results
Energy above the lowest structure with this stoichiometry: 0 meV per atom
E_form (uncorrected): -1659 meV/atom
DOS(E_F): 0.000 states/eV per atom

```
Rb3IBr2
1.0
-2.497 3.599 7.681
2.497 -3.599 7.681
2.497 3.599 -7.681
Rb I Br
3 1 2
direct
0.000 0.000 0.000
0.322 0.322 0.000
0.678 0.678 0.000
0.500 0.000 0.500
0.165 0.665 0.500
0.835 0.335 0.500
```

# 3
Compound: Rb2I3Br2
Source: Alexandria
Functional: PBE-GGA
Structure: relaxed

Results
E_form (uncorrected): -931 meV/atom
DOS(E_F): 0.163 states/eV per atom

```
Rb2I3Br2
1.0
5.303 0.000 0.000
0.000 4.884 0.000
-1.841 0.000 13.353
Rb I Br
2 3 2
direct
0.221 0.000 0.288
0.779 0.000 0.712
0.104 0.500 0.904
0.500 0.500 0.500
0.896 0.500 0.096
0.283 0.500 0.701
0.717 0.500 0.299
```

# 4
Compound: RbIBr2
Source: Alexandria
Functional: PBE-GGA
Structure: relaxed

Results
E_form (uncorrected): -653 meV/atom
DOS(E_F): 0.140 states/eV per atom

```
RbIBr2
1.0
-3.010 3.010 10.069
3.010 -3.010 10.069
3.010 3.010 -10.069
Rb I Br
2 2 4
direct
0.000 0.000 0.000
0.750 0.250 0.500
0.250 0.750 0.500
0.500 0.500 0.000
0.197 0.625 0.072
0.375 0.447 0.572
0.553 0.125 0.928
0.875 0.803 0.428
```

# 5
Compound: Rb2IBr
Source: Alexandria
Functional: PBE-GGA
Structure: relaxed

Results
Energy above the lowest structure with this stoichiometry: 60 meV per atom
E_form (uncorrected): -1560 meV/atom
DOS(E_F): 0.000 states/eV per atom

```
Rb2IBr
1.0
0.000 4.345 4.345
4.345 0.000 4.345
4.345 4.345 0.000
Rb I Br
2 1 1
direct
0.250 0.250 0.250
0.750 0.750 0.750
0.000 0.000 0.000
0.500 0.500 0.500
```

# 6
Compound: RbI4Br
Source: Alexandria
Functional: PBE-GGA
Structure: relaxed

Results
E_form (uncorrected): -532 meV/atom

```
RbI4Br
1.0
9.254 0.000 0.000
-1.315 9.217 0.000
-4.481 -3.945 8.080
Rb I Br
2 8 2
direct
0.194 0.288 0.247
0.806 0.712 0.753
0.083 0.098 0.806
0.219 0.861 0.198
0.342 0.678 0.623
0.410 0.423 0.714
0.590 0.577 0.286
0.658 0.322 0.377
0.781 0.139 0.802
0.917 0.902 0.194
0.473 0.165 0.797
0.527 0.835 0.203
```

# 7
Compound: Rb5IBr4
Source: Alexandria
Functional: PBE-GGA
Structure: relaxed

Results
Energy above the lowest structure with this stoichiometry: 0 meV per atom
E_form (uncorrected): -1696 meV/atom
DOS(E_F): 0.000 states/eV per atom

```
Rb5IBr4
1.0
-2.481 3.556 12.625
2.481 -3.556 12.625
2.481 3.556 -12.625
Rb I Br
5 1 4
direct
0.000 0.000 0.000
0.199 0.199 0.000
0.390 0.390 0.000
0.610 0.610 0.000
0.801 0.801 0.000
0.500 0.000 0.500
0.100 0.600 0.500
0.297 0.797 0.500
0.703 0.203 0.500
0.900 0.400 0.500
```

# 8
Compound: Rb4IBr3
Source: Alexandria
Functional: PBE-GGA
Structure: relaxed

Results
Energy above the lowest structure with this stoichiometry: 3 meV per atom
E_form (uncorrected): -1678 meV/atom
DOS(E_F): 0.000 states/eV per atom

```
Rb4IBr3
1.0
-3.568 3.568 7.111
3.568 -3.568 7.111
3.568 3.568 -7.111
Rb I Br
4 1 3
direct
0.000 0.500 0.500
0.240 0.240 0.000
0.500 0.000 0.500
0.760 0.760 0.000
0.500 0.500 0.000
0.000 0.000 0.000
0.250 0.750 0.500
0.750 0.250 0.500
```

# 9
Compound: RbI2Br4
Source: Alexandria
Functional: PBE-GGA
Structure: relaxed

Results
E_form (uncorrected): -507 meV/atom
DOS(E_F): 0.485 states/eV per atom

```
RbI2Br4
1.0
8.621 0.000 0.000
4.306 8.560 0.000
3.849 -0.001 9.082
Rb I Br
2 4 8
direct
0.123 0.249 0.250
0.877 0.751 0.750
0.000 0.000 0.000
0.500 0.000 0.500
0.500 0.500 0.000
0.500 0.500 0.500
0.154 0.574 0.015
0.228 0.425 0.515
0.241 0.923 0.491
0.337 0.922 0.009
0.663 0.078 0.991
0.759 0.077 0.509
0.772 0.575 0.485
0.846 0.426 0.985
```

# 10
Compound: Rb2IBr8
Source: Alexandria
Functional: PBE-GGA
Structure: relaxed

Results
E_form (uncorrected): -635 meV/atom
DOS(E_F): 0.512 states/eV per atom

```
Rb2IBr8
1.0
6.300 0.000 0.000
0.000 8.551 0.000
0.616 0.205 9.594
Rb I Br
2 1 8
direct
0.224 0.487 0.196
0.776 0.513 0.804
0.000 0.000 0.500
0.043 0.689 0.501
0.275 0.008 0.846
0.277 0.307 0.842
0.277 0.707 0.857
0.723 0.293 0.143
0.723 0.693 0.158
0.725 0.992 0.154
0.957 0.311 0.499
```

# 11
Compound: Rb2I7Br
Source: Alexandria
Functional: PBE-GGA
Structure: relaxed

Results
E_form (uncorrected): -517 meV/atom
DOS(E_F): 0.000 states/eV per atom

```
Rb2I7Br
1.0
-4.505 4.505 6.362
4.505 -4.505 6.362
4.505 4.505 -6.362
Rb I Br
2 7 1
direct
0.250 0.750 0.500
0.750 0.250 0.500
0.000 0.000 0.000
0.232 0.232 0.464
0.232 0.768 0.000
0.281 0.281 0.000
0.719 0.719 0.000
0.768 0.232 0.000
0.768 0.768 0.536
0.500 0.500 0.000
```